This record from Alexandria describes a relaxed structure of Re2SiAg. The functional is PBE-GGA.

D(E_F) in states/eV per cell: 2.3
Symmetry: Pm
ΔE_f (raw) in meV/atom: 334
Total DFT energy (no corrections) in eV per atom: -7.958

CIF file:
```
data_Re2SiAg
_chemical_formula_sum 'Re2 Si1 Ag1'
_cell_length_a 2.8754
_cell_length_b 4.0758
_cell_length_c 5.3666
_cell_angle_alpha 90.00
_cell_angle_beta 105.41
_cell_angle_gamma 90.00
_symmetry_space_group_name_H-M 'P 1'
_symmetry_Int_Tables_number 1
_symmetry_space_group_name_Hall 'P 1'
loop_
_atom_site_label
_atom_site_type_symbol
_atom_site_fract_x
_atom_site_fract_y
_atom_site_fract_z
_atom_site_occupancy
Re1 Re 0.0000 0.0000 0.0000 1
Re2 Re 0.3902 0.5000 0.7884 1
Si1 Si 0.1378 0.5000 0.2808 1
Ag1 Ag 0.7350 0.0000 0.4772 1
```